No. 1
DFT (GGA-PBE) results for crystalline Fe3P at its relaxed geometry.

Cell lengths 4.5700, 4.5700, 4.5700 Å; angles 142.98, 129.95, 63.87 degrees
Sites, in units of the cell vectors:
Fe: 0.2650 0.2650 0.0000
Fe: 0.7350 0.7350 0.0000
Fe: 0.0000 0.5000 0.5000
P: 0.5000 0.0000 0.5000

The energy of formation is -0.158 eV per atom. The value obtained for the offset from the most stable computed form is 199 meV/atom.



No. 2
DFT (GGA-PBE) results for crystalline PaSi2Os2Rh at its relaxed geometry.

Cell lengths 4.5215, 4.5215, 5.2313 Å; angles 90.00, 90.00, 90.00 degrees
Sites, in units of the cell vectors:
Pa: 0.0000 0.0000 0.5000
Si: 0.5000 0.0000 0.0000
Si: 0.0000 0.5000 0.0000
Os: 0.5000 0.5000 0.7377
Os: 0.5000 0.5000 0.2623
Rh: 0.0000 0.0000 0.0000

Its formation energy without anion corrections is 0.477 eV per formula unit.



Result set for DOS(E_F): 1.02 0.99 states/eV/atom, one per record in the order listed.